20
Lattice="-3.8600 3.8600 3.8600 3.8600 -3.8600 3.8600 3.8600 3.8600 -3.8600" Properties=species:S:1:pos:R:3 comment="SrCu3Mo4O12 | Alexandria via LeMat-Bulk | PBE+U | optimized geometry" total_energy_ev_per_atom=-6.6075 mass_density_g_cm3=6.2 magmom_total_mub_per_fu=4.91 pbc="T T T"
Sr 0.0000 0.0000 0.0000
Cu 3.8600 0.0000 0.0000
Cu 0.0000 3.8600 0.0000
Cu 0.0000 0.0000 3.8600
Mo 1.9300 1.9300 -1.9300
Mo 1.9300 -1.9300 1.9300
Mo -1.9300 1.9300 1.9300
Mo 1.9300 1.9300 1.9300
O 3.8600 2.5271 -1.5004
O 2.3597 0.0000 1.3330
O 5.3604 0.0000 1.3330
O 1.3330 2.3597 0.0000
O 2.5271 -1.5004 3.8600
O 0.0000 1.3330 2.3597
O 3.8600 2.5271 1.5004
O 1.3330 5.3604 0.0000
O 2.5271 1.5004 3.8600
O -1.5004 3.8600 2.5271
O 1.5004 3.8600 2.5271
O 0.0000 1.3330 5.3604